An optimized crystal structure of TcBi2MoF, computed with PBE with a Hubbard U.

Properties
* density: 9.19 g/cm³
* V: 114 Å³/cell
* uncorrected energy: -4.916 eV per atom

Cell: 5.2242 5.2242 4.1777 Å, 90.00 90.00 90.00°
Last column: nearest neighbours and their distance in Å.
Positions (direct):
Tc 0.0000 0.0000 0.0000  8 Bi 3.34, 4 Mo 3.69
Bi 0.0000 0.5000 0.5000  2 F 2.61
Bi 0.5000 0.0000 0.5000  2 F 2.61
Mo 0.5000 0.5000 0.0000  2 F 2.09
F 0.5000 0.5000 0.5000  2 Mo 2.09